{"formula": "OsRh3Cl", "functional": "PBE-GGA", "state": "relaxed", "energy_ry_per_atom": -0.417, "e_above_lowest_polymorph_mev_per_atom": 0, "raw_formation_energy_ev_per_atom": 1.354, "cell": [[4.350, 0.000, 0.000], [0.000, 4.350, 0.000], [0.000, 0.000, 4.350]], "species": ["Rh", "Rh", "Rh", "Os", "Cl"], "frac_coords": [[0.000, 0.500, 0.000], [0.000, 0.000, 0.500], [0.500, 0.000, 0.000], [0.500, 0.500, 0.500], [0.000, 0.000, 0.000]]}

{"formula": "LaPr3Y4", "functional": "PBE-GGA", "state": "relaxed", "energy_ry_per_atom": -0.413, "formation_energy_ev_per_atom": 0.025, "e_above_lowest_polymorph_mev_per_atom": 0, "cell": [[-1.960, 4.875, -3.638], [1.325, -4.000, -6.075], [-10.968, -4.155, 0.343]], "species": ["Y", "Y", "Y", "Y", "Y", "Y", "Y", "Y", "Pr", "Pr", "Pr", "Pr", "Pr", "Pr", "La", "La"], "frac_coords": [[0.481, 0.878, 0.249], [0.647, 0.121, 0.500], [0.147, 0.879, 0.500], [0.147, 0.879, 0.000], [0.481, 0.878, 0.751], [0.981, 0.122, 0.749], [0.981, 0.122, 0.251], [0.647, 0.121, 0.000], [0.149, 0.373, 0.500], [0.980, 0.628, 0.250], [0.980, 0.628, 0.750], [0.480, 0.372, 0.250], [0.480, 0.372, 0.750], [0.649, 0.627, 0.000], [0.150, 0.376, 0.000], [0.650, 0.624, 0.500]]}

{"formula": "LiTiPd2", "functional": "PBE-GGA", "state": "relaxed", "energy_ry_per_atom": -0.407, "formation_energy_ev_per_atom": -0.490, "cell": [[2.988, 0.000, 0.000], [0.000, 4.454, 0.000], [0.000, 0.000, 4.454]], "species": ["Pd", "Pd", "Li", "Ti"], "frac_coords": [[0.000, 0.500, 0.000], [0.000, 0.000, 0.500], [0.500, 0.500, 0.500], [0.500, 0.000, 0.000]]}

{"formula": "Th8OsRh3Se4", "functional": "PBE-GGA", "state": "relaxed", "energy_ry_per_atom": -0.577, "raw_formation_energy_ev_per_atom": -1.193, "cell": [[8.225, 0.000, 0.000], [0.000, 8.754, 0.356], [-4.113, -4.102, 5.825]], "species": ["Rh", "Rh", "Rh", "Th", "Th", "Th", "Th", "Th", "Th", "Th", "Th", "Se", "Se", "Se", "Se", "Os"], "frac_coords": [[0.000, 0.500, 0.500], [0.500, 0.500, 0.500], [0.500, 0.500, 0.000], [0.740, 0.718, 0.479], [0.762, 0.282, 0.018], [0.237, 0.717, 0.475], [0.260, 0.282, 0.521], [0.744, 0.718, 0.982], [0.238, 0.718, 0.982], [0.763, 0.283, 0.525], [0.256, 0.282, 0.018], [0.000, 0.000, 0.500], [0.500, 0.000, 0.500], [0.000, 0.000, 0.000], [0.500, 0.000, 0.000], [0.000, 0.500, 0.000]]}